[1]
Here is an optimized crystal structure of VHgI2N from Alexandria. Energies are from PBE-GGA.

Computed properties:
**N(E_F)**: 9.1 states/eV per cell
**Total magnetization**: 0.5 μB per formula unit
**Energy above the lowest structure with this stoichiometry**: 1.483 eV per atom
**Space-group type**: P4/mmm (123)
**Total DFT energy (no corrections)**: -0.1915 Ry per atom
**Crystal system**: tetragonal
**V**: 151.0 Å³/f.u.

abc: 6.2047 6.2047 3.9228
angles: 90.00 90.00 90.00
With the nearest neighbours (Å) after each atom.
Element x y z (fractional)
V 0.0000 0.0000 0.0000  8 I 3.67, 2 V 3.92
Hg 0.5000 0.5000 0.5000  2 N 1.96
I 0.0000 0.5000 0.5000  2 Hg 3.10
I 0.5000 0.0000 0.5000  2 Hg 3.10
N 0.5000 0.5000 0.0000  2 Hg 1.96

=====

[2]
Here is an optimized crystal structure of HgWIN2 from Alexandria. Energies are from PBE-GGA.

Computed properties:
**N(E_F)**: 6.8 states/eV per cell
**Total magnetization**: 0.1 μB per formula unit
**Energy above the lowest structure with this stoichiometry**: 2.324 eV per atom
**Space-group type**: P4/mmm (123)
**Total DFT energy (no corrections)**: -0.2454 Ry per atom
**Crystal system**: tetragonal
**V**: 101.2 Å³/f.u.

abc: 4.1159 4.1159 5.9735
angles: 90.00 90.00 90.00
With the nearest neighbours (Å) after each atom.
Element x y z (fractional)
Hg 0.0000 0.0000 0.0000  4 N 2.06
W 0.5000 0.5000 0.5000  4 I 2.91
I 0.0000 0.0000 0.5000  4 W 2.91, 2 Hg 2.99
N 0.0000 0.5000 0.0000  2 Hg 2.06
N 0.5000 0.0000 0.0000  2 Hg 2.06

=====

[3]
Here is an optimized crystal structure of HgWI2N from Alexandria. Energies are from PBE-GGA.

Computed properties:
**N(E_F)**: 5.9 states/eV per cell
**Total magnetization**: 4.3 μB per formula unit
**Energy above the lowest structure with this stoichiometry**: 1.733 eV per atom
**Space-group type**: P4/mmm (123)
**Total DFT energy (no corrections)**: -0.2125 Ry per atom
**Crystal system**: tetragonal
**V**: 148.2 Å³/f.u.

abc: 6.1755 6.1755 3.8857
angles: 90.00 90.00 90.00
With the nearest neighbours (Å) after each atom.
Element x y z (fractional)
Hg 0.0000 0.0000 0.0000  2 N 1.94
W 0.5000 0.5000 0.5000  8 I 3.65, 2 W 3.89
I 0.0000 0.5000 0.0000  2 Hg 3.09
I 0.5000 0.0000 0.0000  2 Hg 3.09
N 0.0000 0.0000 0.5000  2 Hg 1.94

=====

[4]
Here is an optimized crystal structure of HgWI2N from Alexandria. Energies are from PBE-GGA.

Computed properties:
**N(E_F)**: 2.8 states/eV per cell
**Total magnetization**: 0.9 μB per formula unit
**Energy above the lowest structure with this stoichiometry**: 0.000 eV per atom
**Space-group type**: P4/mmm (123)
**Total DFT energy (no corrections)**: -0.3399 Ry per atom
**Crystal system**: tetragonal
**V**: 127.9 Å³/f.u.

abc: 5.7510 5.7510 3.8682
angles: 90.00 90.00 90.00
With the nearest neighbours (Å) after each atom.
Element x y z (fractional)
Hg 0.0000 0.0000 0.0000  8 I 3.47, 2 Hg 3.87
W 0.5000 0.5000 0.5000  2 N 1.93
I 0.0000 0.5000 0.5000  2 W 2.88
I 0.5000 0.0000 0.5000  2 W 2.88
N 0.5000 0.5000 0.0000  2 W 1.93

=====

[5]
Here is an optimized crystal structure of HgWIN2 from Alexandria. Energies are from PBE-GGA.

Computed properties:
**N(E_F)**: 1.5 states/eV per cell
**Total magnetization**: 0.0 μB per formula unit
**Energy above the lowest structure with this stoichiometry**: 0.000 eV per atom
**Space-group type**: P4/mmm (123)
**Total DFT energy (no corrections)**: -0.4162 Ry per atom
**Crystal system**: tetragonal
**V**: 95.7 Å³/f.u.

abc: 4.0374 4.0374 5.8739
angles: 90.00 90.00 90.00
With the nearest neighbours (Å) after each atom.
Element x y z (fractional)
Hg 0.0000 0.0000 0.0000  4 I 2.85
W 0.5000 0.5000 0.5000  4 N 2.02
I 0.5000 0.5000 0.0000  4 Hg 2.85, 2 W 2.94
N 0.0000 0.5000 0.5000  2 W 2.02
N 0.5000 0.0000 0.5000  2 W 2.02

=====

[6]
Here is an optimized crystal structure of ZnHgI2N from Alexandria. Energies are from PBE-GGA.

Computed properties:
**N(E_F)**: 3.1 states/eV per cell
**Total magnetization**: 0.0 μB per formula unit
**Energy above the lowest structure with this stoichiometry**: 0.274 eV per atom
**Space-group type**: P4/mmm (123)
**Total DFT energy (no corrections)**: -0.1299 Ry per atom
**Crystal system**: tetragonal
**V**: 131.2 Å³/f.u.

abc: 5.4957 5.4957 4.3455
angles: 90.00 90.00 90.00
With the nearest neighbours (Å) after each atom.
Element x y z (fractional)
Zn 0.0000 0.0000 0.0000  8 I 3.50, 4 Hg 3.89
Hg 0.5000 0.5000 0.0000  2 N 2.17
I 0.0000 0.5000 0.5000  2 N 2.75
I 0.5000 0.0000 0.5000  2 N 2.75
N 0.5000 0.5000 0.5000  2 Hg 2.17

=====

The records above give, respectively, formation energy without anion corrections values of 1.564, 2.952, 2.045, 0.312, 0.628, 0.833 eV/atom.